VASP calculation (PBE) on crystalline Sm2Sc4Pb3O2 at its relaxed geometry.

Results
calculated density	7.6	g cm⁻³
density of states at the Fermi level	8.7	states/eV per cell
VASP energy	-6.480	eV/atom
E_form (uncorrected)	-15.48	eV per formula unit

Cell: 12.861 12.861 12.861 Å, 160.09 160.09 28.30°
Positions (direct):
Sm 0.193 0.193 0.000
Sm 0.807 0.807 0.000
Sc 0.082 0.582 0.500
Sc 0.418 0.918 0.500
Sc 0.582 0.082 0.500
Sc 0.918 0.418 0.500
Pb 0.327 0.327 0.000
Pb 0.500 0.500 0.000
Pb 0.673 0.673 0.000
O 0.091 0.091 0.000
O 0.909 0.909 0.000